DFT (PBE+U) results for BaW3O after structural relaxation.

Geometry as extended XYZ:
```
5
Lattice="-0.162 -4.539 -1.329 1.403 -1.316 4.323 -4.516 -0.246 1.391" Properties=species:S:1:pos:R:3 pbc="T T T"
O 0.000 0.000 0.000
Ba -1.638 -3.050 2.193
W 0.702 -0.658 2.162
W -2.258 -0.123 0.696
W -0.081 -2.269 -0.664
```

Summary:
SG ... No. 221
DOS(E_F) ... 4.6 states/eV/f.u.
ΔE to the lowest computed polymorph ... 0 meV per atom
Total magnetization ... 7.58 μB per cell